No. 1
Pm4NiHg3 after structural relaxation. Source: the Alexandria database, functional GGA-PBE.

```
Pm4NiHg3
1.0
-0.3338 -3.1376 1.9058
2.0897 -1.7358 -2.4917
12.5517 3.5544 8.0506
Pm Hg Ni
4 3 1
Cartesian
1.3371 0.3786 0.8576
4.6339 1.3122 2.9722
7.9177 2.2421 5.0784
11.2146 3.1757 7.1930
10.4074 0.2618 5.8191
3.9002 -1.5809 1.6455
7.1538 -0.6595 3.7323
0.8779 -2.4367 -0.2930
```

symmetry = No. 123
formation energy from the elements = -0.4102 eV per atom

No. 2
NbIn2HgBr after structural relaxation. Source: the Alexandria database, functional GGA-PBE.

```
NbIn2HgBr
1.0
5.4004 0.0000 0.0000
0.0000 5.9530 0.0000
0.0000 0.0000 5.4004
Nb Hg In Br
1 1 2 1
Cartesian
2.7002 2.9765 2.7002
0.0000 0.0000 0.0000
0.0000 0.0000 2.7002
2.7002 0.0000 0.0000
0.0000 2.9765 0.0000
```

symmetry = No. 123
raw formation energy = 1.03 eV/atom

No. 3
Zn2PbF after structural relaxation. Source: the Alexandria database, functional GGA-PBE.

```
Zn2PbF
1.0
1.7736 2.7917 3.4235
-2.7507 3.3085 2.0365
-1.4430 -0.5471 4.5031
F Pb Zn
1 1 2
Cartesian
0.0000 0.0000 0.0000
-1.2100 2.7765 4.9815
-0.6050 1.3883 2.4907
-1.8151 4.1648 7.4722
```

symmetry = No. 225
ΔE to the lowest computed polymorph = 172 meV/atom
raw formation energy = -0.32 eV/atom

No. 4
HfTaTl after structural relaxation. Source: the Alexandria database, functional GGA-PBE.

```
HfTaTl
1.0
-0.0486 3.4999 -2.1567
-4.1039 0.0858 0.2316
0.4522 4.0241 6.5202
Ta Hf Tl
2 2 2
Cartesian
-1.8502 3.8049 2.2976
0.2261 2.0120 3.2601
0.3500 5.0811 4.3192
-1.9741 0.7358 1.2385
0.0726 2.6120 0.3185
-1.6967 3.2049 5.2392
```

symmetry = No. 129
formation energy from the elements = 0.2305 eV per atom

no.,calculated total energy (eV/atom)
1,-3.621
2,-2.473
3,-2.347
4,-7.827